1.
VASP calculation (meta-GGA SCAN) on a PBEsol-optimized structure of TlCrPt.

abc: 4.3343 4.3343 4.3343
angles: 60.00 60.00 60.00
Site moments in Bohr magnetons follow the coordinates.
Element x y z (fractional)
Tl1 0.5000 0.5000 0.5000  0.01
Pt1 0.0000 0.0000 0.0000  0.07
Cr1 0.7500 0.7500 0.7500  3.41

Output
**ρ**: 13.0 g/cm3
**Distance to the lowest polymorph of the same formula**: 0.0 meV/atom
**E_form**: 0.20 eV per atom
**Magnetic moment**: 3.64 μB per formula unit


2.
VASP calculation (meta-GGA SCAN) on a PBEsol-optimized structure of TlCrPt2.

abc: 2.8673 2.8673 9.0597
angles: 80.89 80.89 60.00
Site moments in Bohr magnetons follow the coordinates.
Element x y z (fractional)
Tl1 0.5029 0.5029 0.4912  -0.01
Pt1 0.9943 0.9943 0.0170  0.08
Pt2 0.7471 0.7471 0.7587  -0.03
Cr1 0.2557 0.2557 0.2330  3.14

Output
**ρ**: 16.9 g/cm3
**E_form**: 0.29 eV per atom
**Magnetic moment**: 3.39 μB per formula unit


> What is the formula in the first record?

TlCrPt